No. 1
# MgSb4Se

A relaxed structure of MgSb4Se (GGA-PBE, Alexandria via LeMat-Bulk).

Geometry as POSCAR:
```
MgSb4Se
1.0
0.000 4.379 4.379
4.379 0.000 4.379
4.379 4.379 0.000
Mg Sb Se
1 4 1
Cartesian
0.000 0.000 0.000
5.462 3.295 3.295
3.295 5.462 3.295
3.295 3.295 5.462
5.462 5.462 5.462
2.189 2.189 2.189
```

No. 2
# MgSb2Se4

A relaxed structure of MgSb2Se4 (GGA-PBE, Alexandria via LeMat-Bulk).

Geometry as POSCAR:
```
MgSb2Se4
1.0
7.435 -2.013 0.000
7.435 2.013 0.000
-3.216 0.000 6.369
Mg Sb Se
1 2 4
Cartesian
0.000 0.000 0.000
3.022 0.000 1.759
8.632 0.000 4.611
0.377 0.000 2.829
5.559 0.000 0.177
6.095 0.000 6.193
11.278 0.000 3.540
```

No. 3
MgSb2Se GGA-PBE optimized geometry; distance to the lowest polymorph of the same formula = 0.489 eV/atom
1.0
0.000 3.662 3.662
3.662 0.000 3.662
3.662 3.662 0.000
Mg Sb Se
1 2 1
Cartesian
0.000 0.000 0.000
1.831 1.831 1.831
5.493 5.493 5.493
3.662 3.662 3.662

No. 4
MgSbSe2 GGA-PBE optimized geometry; distance to the lowest polymorph of the same formula = 0.067 eV/atom
1.0
1.968 1.136 7.184
-1.968 1.136 7.184
0.000 -2.273 7.184
Mg Sb Se
1 1 2
Cartesian
0.000 0.000 0.000
0.000 0.000 10.776
0.000 0.000 5.601
0.000 0.000 15.951

No. 5
MgSbSe2 GGA-PBE optimized geometry; distance to the lowest polymorph of the same formula = 0.233 eV/atom
1.0
3.873 0.000 0.000
0.000 3.904 0.000
0.000 0.000 7.411
Mg Sb Se
1 1 2
Cartesian
0.000 0.000 0.000
0.000 1.952 3.705
1.936 0.000 3.705
1.936 1.952 0.000

No. 6
MgSb2Se GGA-PBE optimized geometry; distance to the lowest polymorph of the same formula = 0.282 eV/atom
1.0
3.519 0.000 0.000
0.000 5.033 0.000
0.000 0.000 5.499
Mg Sb Se
1 2 1
Cartesian
0.000 0.000 0.000
0.000 2.517 2.749
1.760 2.517 0.000
1.760 0.000 2.749

no.,uncorrected formation energy (eV per atom)
1,0.288
2,-0.496
3,0.148
4,-0.474
5,-0.308
6,-0.059